Record 1
Below is a relaxed Dy4Tm3Zr crystal, with properties calculated at the GGA-PBE level.

The structure belongs to space group Pmn2_1 (No. 31); the cell edges are 11.0173, 7.1127 and 6.1286 Å and the angles 90.00°, 90.00° and 90.00°. Symmetry generates all atoms from Dy at (0.0000, 0.1289, 0.0000), Dy at (0.0000, 0.8671, 0.4965), Dy at (0.2445, 0.8697, 0.8399), Tm at (0.0000, 0.3845, 0.5007), Tm at (0.2483, 0.3801, 0.8291) and Zr at (0.0000, 0.6222, 0.0034).

For the relative energy among the computed polymorphs, the calculation gives 0 meV per atom. Its formation energy is 36 meV/atom.

***

Record 2
Below is a relaxed SbOs2Br crystal, with properties calculated at the GGA-PBE level.

The structure belongs to space group I-42d (No. 122); the cell edges are 5.5620, 5.5620 and 12.1738 Å and the angles 90.00°, 90.00° and 90.00°. Symmetry generates all atoms from Sb at (0.0000, 0.0000, 0.0000), Os at (0.2162, 0.2500, 0.6250) and Br at (0.0000, 0.0000, 0.5000).

For the formation energy from raw total energies, the calculation gives 1.321 eV/atom. For the relative energy among the computed polymorphs, the calculation gives 895 meV per atom.

***

Record 3
Below is a relaxed CsRbTl2Te2 crystal, with properties calculated at the GGA-PBE level.

The structure belongs to space group P-3m1 (No. 164); the cell edges are 5.9167, 5.9167 and 8.4997 Å and the angles 90.00°, 90.00° and 120.00°. Symmetry generates all atoms from Cs at (0.0000, 0.0000, 0.0000), Rb at (0.0000, 0.0000, 0.5000), Tl at (0.3333, 0.6667, 0.6821) and Te at (0.3333, 0.6667, 0.2857).

For the formation energy from raw total energies, the calculation gives -0.666 eV/atom.

***

Record 4
Below is a relaxed TbNd4Al5 crystal, with properties calculated at the GGA-PBE level.

The structure belongs to space group P4/mmm (No. 123); the cell edges are 3.7079, 3.7079 and 18.5128 Å and the angles 90.00°, 90.00° and 90.00°. Symmetry generates all atoms from Tb at (0.0000, 0.0000, 0.0000), Nd at (0.0000, 0.0000, 0.1958), Nd at (0.0000, 0.0000, 0.3987), Al at (0.5000, 0.5000, 0.0927), Al at (0.5000, 0.5000, 0.2974) and Al at (0.5000, 0.5000, 0.5000).

Its formation energy is -362 meV/atom.

***

Record 5
Below is a relaxed Li2InBi crystal, with properties calculated at the GGA-PBE level.

The structure belongs to space group I-42d (No. 122); the cell edges are 4.5364, 4.5364 and 19.6432 Å and the angles 90.00°, 90.00° and 90.00°. Symmetry generates all atoms from Li at (0.2420, 0.2500, 0.1250), In at (0.0000, 0.0000, 0.5000) and Bi at (0.0000, 0.0000, 0.0000).

Its formation energy is -134 meV/atom.

***

Record 6
Below is a relaxed Tb4PmIn2 crystal, with properties calculated at the GGA-PBE level.

The structure belongs to space group R-3m (No. 166, hexagonal axes); the cell edges are 5.1315, 5.1315 and 31.4451 Å and the angles 90.00°, 90.00° and 120.00°. Symmetry generates all atoms from Tb at (0.0000, 0.0000, 0.1076), Tb at (0.0000, 0.0000, 0.2967), Pm at (0.0000, 0.0000, 0.5000) and In at (0.0000, 0.0000, 0.3995).

For the relative energy among the computed polymorphs, the calculation gives 157 meV per atom. Its formation energy is 48 meV/atom.

***

Record 7
Below is a relaxed RbCo3Au crystal, with properties calculated at the GGA-PBE level.

The structure belongs to space group Pm-3m (No. 221); the cell edges are 4.9315, 4.9315 and 4.9315 Å and the angles 90.00°, 90.00° and 90.00°. Symmetry generates all atoms from Rb at (0.0000, 0.0000, 0.0000), Co at (0.0000, 0.5000, 0.5000) and Au at (0.5000, 0.5000, 0.5000).

For the relative energy among the computed polymorphs, the calculation gives 0 meV per atom. Its formation energy is 1245 meV/atom.

***

Record 8
Below is a relaxed CsNaAu2 crystal, with properties calculated at the GGA-PBE level.

The structure belongs to space group P4/mmm (No. 123); the cell edges are 5.7441, 5.7441 and 3.9669 Å and the angles 90.00°, 90.00° and 90.00°. Symmetry generates all atoms from Cs at (0.0000, 0.0000, 0.0000), Na at (0.5000, 0.5000, 0.0000) and Au at (0.0000, 0.5000, 0.5000).

For the relative energy among the computed polymorphs, the calculation gives 160 meV per atom. Its formation energy is -139 meV/atom.

***

Record 9
Below is a relaxed CeY2Lu crystal, with properties calculated at the GGA-PBE level.

The structure belongs to space group Fm-3m (No. 225); the cell edges are 7.9940, 7.9940 and 7.9940 Å and the angles 90.00°, 90.00° and 90.00°. Symmetry generates all atoms from Ce at (0.0000, 0.0000, 0.0000), Y at (0.2500, 0.2500, 0.2500) and Lu at (0.0000, 0.0000, 0.5000).

For the relative energy among the computed polymorphs, the calculation gives 101 meV per atom. Its formation energy is 174 meV/atom.

***

Record 10
Below is a relaxed PuIn2PdO8 crystal, with properties calculated at the GGA-PBE level.

The structure belongs to space group P2/m (No. 10); the cell edges are 4.9550, 6.4590 and 5.0031 Å and the angles 90.00°, 92.46° and 90.00°. Symmetry generates all atoms from Pu at (0.0000, 0.0000, 0.0000), In at (0.5000, 0.2588, 0.5000), Pd at (0.0000, 0.5000, 0.0000), O at (0.1881, 0.2490, 0.8265), O at (0.2845, 0.5000, 0.3066) and O at (0.2954, 0.0000, 0.3083).

For the formation energy from raw total energies, the calculation gives -1.499 eV/atom.

***

Record 11
Below is a relaxed RbCaSiTe crystal, with properties calculated at the GGA-PBE level.

The structure belongs to space group Pm (No. 6); the cell edges are 5.7511, 4.2519 and 6.7566 Å and the angles 90.00°, 94.66° and 90.00°. Symmetry generates all atoms from Rb at (0.0000, 0.0000, 0.0000), Ca at (0.4778, 0.0000, 0.4788), Si at (0.5601, 0.5000, 0.1916) and Te at (0.4670, 0.5000, 0.8109).

For the formation energy from raw total energies, the calculation gives -0.279 eV/atom. For the relative energy among the computed polymorphs, the calculation gives 240 meV per atom.

***

Record 12
Below is a relaxed CrRh2Se crystal, with properties calculated at the GGA-PBE level.

The structure belongs to space group R3m (No. 160, hexagonal axes); the cell edges are 2.8537, 2.8537 and 24.3457 Å and the angles 90.00°, 90.00° and 120.00°. Symmetry generates all atoms from Cr at (0.0000, 0.0000, 0.0000), Rh at (0.0000, 0.0000, 0.2518), Rh at (0.0000, 0.0000, 0.4930) and Se at (0.0000, 0.0000, 0.7406).

For the formation energy from raw total energies, the calculation gives 0.168 eV/atom.

***

Please write out number 2 again, unchanged.
Below is a relaxed SbOs2Br crystal, with properties calculated at the GGA-PBE level.

The structure belongs to space group I-42d (No. 122); the cell edges are 5.5620, 5.5620 and 12.1738 Å and the angles 90.00°, 90.00° and 90.00°. Symmetry generates all atoms from Sb at (0.0000, 0.0000, 0.0000), Os at (0.2162, 0.2500, 0.6250) and Br at (0.0000, 0.0000, 0.5000).

For the formation energy from raw total energies, the calculation gives 1.321 eV/atom. For the relative energy among the computed polymorphs, the calculation gives 895 meV per atom.